# 1
The following is a DFT calculation (GGA-PBEsol) of an optimized crystal structure of Sc2PPb.

Summary:
Magnetization (μB/f.u.): 0.0
Formation enthalpy at 0 K (eV per atom): -0.564
VASP energy (eV/atom): -6.314

Cell and atoms, written as POSCAR:
```
Sc2PPb
1.0
3.814 0.000 0.000
0.000 4.099 0.000
0.000 0.000 5.258
Sc P Pb
2 1 1
Direct
0.000 0.000 0.000
0.000 0.500 0.500
0.500 0.000 0.500
0.500 0.500 0.000
```



# 2
The following is a DFT calculation (GGA-PBEsol) of an optimized crystal structure of MnZn2Cr.

Summary:
Magnetization (μB/f.u.): 0.0
Formation enthalpy at 0 K (eV per atom): 0.162
VASP energy (eV/atom): -5.629

Cell and atoms, written as POSCAR:
```
MnZn2Cr
1.0
1.299 0.750 8.393
-1.299 0.750 8.393
0.000 -1.500 8.393
Mn Zn Cr
1 2 1
Direct
0.000 0.000 0.000
0.248 0.248 0.248
0.489 0.489 0.489
0.735 0.735 0.735
```



# 3
The following is a DFT calculation (GGA-PBEsol) of an optimized crystal structure of Sr2TlZn.

Summary:
Magnetization (μB/f.u.): 0.0
Formation enthalpy at 0 K (eV per atom): -0.305
VASP energy (eV/atom): -2.279

Cell and atoms, written as POSCAR:
```
Sr2TlZn
1.0
3.840 0.000 0.000
0.000 3.840 0.000
0.000 0.000 8.139
Sr Tl Zn
2 1 1
Direct
0.000 0.000 0.236
0.000 0.000 0.764
0.500 0.500 0.500
0.500 0.500 0.000
```



# 4
The following is a DFT calculation (GGA-PBEsol) of an optimized crystal structure of YTlCo4.

Summary:
Magnetization (μB/f.u.): 4.3
Formation enthalpy at 0 K (eV per atom): -0.030
VASP energy (eV/atom): -6.763

Cell and atoms, written as POSCAR:
```
YTlCo4
1.0
0.000 3.486 3.486
3.486 0.000 3.486
3.486 3.486 0.000
Y Tl Co
1 1 4
Direct
0.000 0.000 0.000
0.750 0.750 0.750
0.376 0.376 0.376
0.376 0.376 0.873
0.376 0.873 0.376
0.873 0.376 0.376
```



# 5
The following is a DFT calculation (GGA-PBEsol) of an optimized crystal structure of MnBeIr2.

Summary:
Magnetization (μB/f.u.): 0.9
Formation enthalpy at 0 K (eV per atom): -0.330
VASP energy (eV/atom): -8.682

Cell and atoms, written as POSCAR:
```
MnBeIr2
1.0
2.713 0.000 0.000
0.000 2.713 0.000
0.000 0.000 6.281
Mn Be Ir
1 1 2
Direct
0.000 0.000 0.000
0.000 0.000 0.500
0.500 0.500 0.272
0.500 0.500 0.728
```



# 6
The following is a DFT calculation (GGA-PBEsol) of an optimized crystal structure of TaSbAu.

Summary:
Magnetization (μB/f.u.): 0.0
VASP energy (eV/atom): -6.861
ΔE_f (raw) (eV per atom): 0.149

Cell and atoms, written as POSCAR:
```
TaSbAu
1.0
3.109 0.000 0.000
-1.555 2.693 0.000
0.000 0.000 6.998
Ta Sb Au
1 1 1
Direct
0.000 0.000 0.000
0.333 0.667 0.334
0.667 0.333 0.694
```



# 7
The following is a DFT calculation (GGA-PBEsol) of an optimized crystal structure of Ca2MgCl.

Summary:
Magnetization (μB/f.u.): 0.0
VASP energy (eV/atom): -2.659
ΔE_f (raw) (eV per atom): -0.661

Cell and atoms, written as POSCAR:
```
Ca2MgCl
1.0
3.913 0.000 0.000
0.000 3.913 0.000
0.000 0.000 8.037
Ca Mg Cl
2 1 1
Direct
0.000 0.000 0.000
0.500 0.500 0.363
0.500 0.500 0.773
0.000 0.000 0.357
```



# 8
The following is a DFT calculation (GGA-PBEsol) of an optimized crystal structure of NaRe3Br.

Summary:
Magnetization (μB/f.u.): 4.1
VASP energy (eV/atom): -4.932
ΔE_f (raw) (eV per atom): 3.721

Cell and atoms, written as POSCAR:
```
NaRe3Br
1.0
4.560 0.000 0.000
0.000 4.560 0.000
0.000 0.000 4.560
Na Re Br
1 3 1
Direct
0.000 0.000 0.000
0.000 0.000 0.500
0.000 0.500 0.000
0.500 0.000 0.000
0.500 0.500 0.500
```



# 9
The following is a DFT calculation (GGA-PBEsol) of an optimized crystal structure of KZnN2.

Summary:
Magnetization (μB/f.u.): 1.2
VASP energy (eV/atom): -4.139
ΔE_f (raw) (eV per atom): 0.803

Cell and atoms, written as POSCAR:
```
KZnN2
1.0
-2.201 2.201 6.352
2.201 -2.201 6.352
2.201 2.201 -6.352
K Zn N
2 2 4
Direct
0.375 0.625 0.750
0.625 0.375 0.250
0.125 0.875 0.250
0.875 0.125 0.750
0.000 0.000 0.000
0.000 0.000 0.500
0.000 0.500 0.000
0.500 0.000 0.500
```



# 10
The following is a DFT calculation (GGA-PBEsol) of an optimized crystal structure of TaSbTe2.

Summary:
Magnetization (μB/f.u.): 0.0
VASP energy (eV/atom): -5.540
ΔE_f (raw) (eV per atom): 0.500

Cell and atoms, written as POSCAR:
```
TaSbTe2
1.0
2.959 -4.640 0.000
2.959 4.640 0.000
-1.860 0.000 3.531
Ta Sb Te
1 1 2
Direct
0.000 0.000 0.000
0.500 0.500 0.000
0.000 0.500 0.500
0.500 0.000 0.500
```



# 11
The following is a DFT calculation (GGA-PBEsol) of an optimized crystal structure of CdCu2Br.

Summary:
Magnetization (μB/f.u.): 0.0
VASP energy (eV/atom): -2.857
ΔE_f (raw) (eV per atom): 0.077

Cell and atoms, written as POSCAR:
```
CdCu2Br
1.0
3.321 0.000 0.000
0.000 3.616 0.000
0.000 0.000 6.212
Cd Cu Br
1 2 1
Direct
0.000 0.000 0.000
0.500 0.500 0.189
0.500 0.500 0.811
0.000 0.500 0.500
```



# 12
The following is a DFT calculation (GGA-PBEsol) of an optimized crystal structure of Ca5Pt3.

Summary:
Magnetization (μB/f.u.): 0.0
Formation enthalpy at 0 K (eV per atom): -0.743
VASP energy (eV/atom): -4.688

Cell and atoms, written as POSCAR:
```
Ca5Pt3
1.0
-5.655 5.655 2.925
5.655 -5.655 2.925
5.655 5.655 -2.925
Ca Pt
10 6
Direct
0.083 0.788 0.872
0.212 0.083 0.295
0.250 0.750 0.500
0.288 0.583 0.872
0.417 0.288 0.705
0.583 0.712 0.295
0.712 0.417 0.128
0.750 0.250 0.500
0.788 0.917 0.705
0.917 0.212 0.128
0.156 0.344 0.500
0.250 0.250 0.000
0.344 0.844 0.188
0.656 0.156 0.812
0.750 0.750 0.000
0.844 0.656 0.500
```



- Among the records above, which one has the highest VASP energy?
  Sr2TlZn



- magnetization of number 2 (MnZn2Cr)?
  0.0 μB/f.u.



What did the seventh record say?
The following is a DFT calculation (GGA-PBEsol) of an optimized crystal structure of Ca2MgCl.

Summary:
Magnetization (μB/f.u.): 0.0
VASP energy (eV/atom): -2.659
ΔE_f (raw) (eV per atom): -0.661

Cell and atoms, written as POSCAR:
```
Ca2MgCl
1.0
3.913 0.000 0.000
0.000 3.913 0.000
0.000 0.000 8.037
Ca Mg Cl
2 1 1
Direct
0.000 0.000 0.000
0.500 0.500 0.363
0.500 0.500 0.773
0.000 0.000 0.357
```